1.
This record from Alexandria via LeMat-Bulk describes crystalline Tb2PmScTe4 at its relaxed geometry. The functional is PBE.

Summary:
D(E_F), states/eV/cell: 5.25
ΔE_f (raw), eV/atom: -1.265
E_tot, eV/atom: -5.38
Space-group type: No. 10
Magnetic moment, μB per cell: 0.00

The structure in POSCAR format:
```
Tb2PmScTe4
1.0
-2.516 3.492 0.239
-2.970 -2.585 6.504
6.023 4.233 1.573
Tb Te Pm Sc
2 4 1 1
Direct
0.500 0.000 0.500
0.000 0.500 0.500
0.000 0.240 0.750
0.500 0.763 0.758
0.000 0.760 0.250
0.500 0.237 0.242
0.500 0.500 0.000
0.000 0.000 0.000
```

---

2.
This record from Alexandria via LeMat-Bulk describes crystalline SmEr2Sc3Bi6 at its relaxed geometry. The functional is PBE.

Summary:
ΔE_f, eV per atom: -0.7495
D(E_F), states/eV/cell: 2.09
E_tot, eV/atom: -5.43
Space-group type: No. 12
Magnetic moment, μB per cell: 0.00

The structure in POSCAR format:
```
SmEr2Sc3Bi6
1.0
7.587 -0.003 0.000
-3.795 6.570 0.000
-1.266 -2.191 7.138
Sm Sc Bi Er
1 3 6 2
Direct
0.000 0.000 0.000
0.500 0.500 0.500
0.164 0.836 0.500
0.836 0.164 0.500
0.573 0.911 0.734
0.251 0.251 0.737
0.089 0.427 0.266
0.911 0.573 0.734
0.749 0.749 0.263
0.427 0.089 0.266
0.667 0.333 0.000
0.333 0.667 0.000
```

---

3.
This record from Alexandria via LeMat-Bulk describes crystalline CsPuAlSe4 at its relaxed geometry. The functional is PBE.

Summary:
D(E_F), states/eV/cell: 20.47
ΔE_f (raw), eV/atom: -1.144
E_tot, eV/atom: -5.84
Space-group type: No. 11
Magnetic moment, μB per cell: 8.05

The structure in POSCAR format:
```
CsPuAlSe4
1.0
-0.453 -6.760 -0.484
6.743 -0.550 1.364
-1.691 2.684 9.438
Pu Cs Se Al
2 2 8 2
Direct
0.227 0.250 0.550
0.773 0.750 0.450
0.251 0.250 0.053
0.749 0.750 0.947
0.543 0.250 0.419
0.984 0.011 0.307
0.457 0.750 0.581
0.016 0.511 0.693
0.016 0.989 0.693
0.984 0.489 0.307
0.569 0.250 0.813
0.431 0.750 0.187
0.231 0.750 0.343
0.769 0.250 0.657
```

---

4.
This record from Alexandria via LeMat-Bulk describes crystalline ErTl2P2Pt7 at its relaxed geometry. The functional is PBE.

Summary:
ΔE_f, eV per atom: -0.5831
D(E_F), states/eV/cell: 4.95
E_tot, eV/atom: -5.78
Space-group type: No. 12
Magnetic moment, μB per cell: 0.00

The structure in POSCAR format:
```
ErTl2P2Pt7
1.0
-0.107 -3.922 -0.686
3.945 -0.198 0.511
-0.106 -4.568 14.567
Pt P Er Tl
7 2 1 2
Direct
0.308 0.308 0.382
0.428 0.928 0.145
0.072 0.572 0.855
0.572 0.072 0.855
0.500 0.500 0.000
0.692 0.692 0.618
0.928 0.428 0.145
0.384 0.384 0.232
0.616 0.616 0.768
0.000 0.000 0.000
0.788 0.788 0.422
0.212 0.212 0.578
```

---

5.
This record from Alexandria via LeMat-Bulk describes crystalline PbBr at its relaxed geometry. The functional is PBE.

Summary:
D(E_F), states/eV/cell: 1.40
ΔE_f (raw), eV/atom: -0.378
E_tot, eV/atom: -3.07
Space-group type: No. 166
Magnetic moment, μB per cell: 0.00

The structure in POSCAR format:
```
PbBr
1.0
5.793 -0.007 -0.005
2.994 4.960 -0.005
2.994 1.687 4.664
Br Pb
2 2
Direct
0.117 0.117 0.117
0.883 0.883 0.883
0.315 0.315 0.315
0.685 0.685 0.685
```

---

6.
This record from Alexandria via LeMat-Bulk describes crystalline Al3AsC at its relaxed geometry. The functional is PBE.

Summary:
ΔE_f, eV per atom: 1.7874
D(E_F), states/eV/cell: 1.83
E_tot, eV/atom: -3.23
Space-group type: No. 221
Magnetic moment, μB per cell: 0.00

The structure in POSCAR format:
```
Al3AsC
1.0
4.799 0.000 0.000
0.000 4.799 0.000
0.000 0.000 4.799
Al As C
3 1 1
Direct
0.500 0.000 0.000
0.000 0.500 0.000
0.000 0.000 0.500
0.000 0.000 0.000
0.500 0.500 0.500
```

---

7.
This record from Alexandria via LeMat-Bulk describes crystalline Ta2ZnP at its relaxed geometry. The functional is PBE.

Summary:
ΔE_f, eV per atom: -0.0107
D(E_F), states/eV/cell: 2.10
E_tot, eV/atom: -7.61
Space-group type: No. 35
Magnetic moment, μB per cell: 0.00

The structure in POSCAR format:
```
Ta2ZnP
1.0
1.295 2.346 -1.262
-1.638 -1.263 -2.120
-6.163 4.516 2.071
Ta P Zn
2 1 1
Direct
0.000 0.000 0.023
0.500 0.500 0.747
0.500 0.500 0.246
0.000 0.000 0.485
```

---

8.
This record from Alexandria via LeMat-Bulk describes crystalline Y2SiPt at its relaxed geometry. The functional is PBE.

Summary:
D(E_F), states/eV/cell: 4.02
ΔE_f (raw), eV/atom: -0.318
E_tot, eV/atom: -6.42
Space-group type: No. 216
Magnetic moment, μB per cell: 0.00

The structure in POSCAR format:
```
Y2SiPt
1.0
-1.196 3.821 -2.766
0.810 -0.120 -4.796
-3.743 -0.312 -3.093
Y Pt Si
2 1 1
Direct
0.250 0.250 0.250
0.000 0.000 0.000
0.500 0.500 0.500
0.750 0.750 0.750
```

---

9.
This record from Alexandria via LeMat-Bulk describes crystalline Dy6Tm2Cd at its relaxed geometry. The functional is PBE.

Summary:
ΔE_f, eV per atom: -0.0134
D(E_F), states/eV/cell: 26.89
Polymorph energy (0 for the lowest one), meV/atom: 27
E_tot, eV/atom: -4.18
Space-group type: No. 136
Magnetic moment, μB per cell: 0.00

The structure in POSCAR format:
```
Dy6Tm2Cd
1.0
-3.162 -0.576 -3.759
-7.839 -1.206 6.778
-1.706 10.291 -0.142
Tm Dy Cd
4 12 2
Direct
0.000 0.334 0.834
0.000 0.666 0.166
0.500 0.166 0.334
0.500 0.834 0.666
0.500 0.837 0.337
0.000 0.667 0.500
0.500 0.833 0.000
0.500 0.500 0.667
0.000 0.000 0.167
0.500 0.163 0.663
0.000 0.333 0.500
0.000 0.663 0.837
0.000 0.000 0.833
0.500 0.167 0.000
0.000 0.337 0.163
0.500 0.500 0.333
0.500 0.500 0.000
0.000 0.000 0.500
```

---

10.
This record from Alexandria via LeMat-Bulk describes crystalline CaAcGeAs at its relaxed geometry. The functional is PBE.

Summary:
ΔE_f, eV per atom: -0.7043
D(E_F), states/eV/cell: 3.32
E_tot, eV/atom: -4.55
Space-group type: No. 216
Magnetic moment, μB per cell: 0.00

The structure in POSCAR format:
```
CaAcGeAs
1.0
5.358 0.000 0.000
2.679 4.640 0.000
2.679 1.547 4.375
Ca As Ac Ge
1 1 1 1
Direct
0.500 0.500 0.500
0.750 0.750 0.750
0.000 0.000 0.000
0.250 0.250 0.250
```

---

11.
This record from Alexandria via LeMat-Bulk describes crystalline LaMg2Os at its relaxed geometry. The functional is PBE.

Summary:
ΔE_f, eV per atom: 0.3622
D(E_F), states/eV/cell: 5.88
E_tot, eV/atom: -4.47
Space-group type: No. 122
Magnetic moment, μB per cell: 0.00

The structure in POSCAR format:
```
LaMg2Os
1.0
-1.314 -3.906 0.807
1.740 0.203 3.817
-8.819 1.995 6.223
La Os Mg
2 2 4
Direct
0.500 0.500 0.000
0.250 0.750 0.500
0.000 0.000 0.000
0.750 0.250 0.500
0.875 0.328 0.750
0.375 0.922 0.750
0.672 0.625 0.250
0.078 0.125 0.250
```

---

12.
This record from Alexandria via LeMat-Bulk describes crystalline CaPuZnRh at its relaxed geometry. The functional is PBE.

Summary:
ΔE_f, eV per atom: -0.2121
D(E_F), states/eV/cell: 10.02
E_tot, eV/atom: -6.45
Space-group type: No. 216
Magnetic moment, μB per cell: 5.74

The structure in POSCAR format:
```
CaPuZnRh
1.0
4.967 0.000 0.000
2.483 4.301 0.000
2.483 1.434 4.055
Ca Pu Rh Zn
1 1 1 1
Direct
0.500 0.500 0.500
0.000 0.000 0.000
0.250 0.250 0.250
0.750 0.750 0.750
```